## LiPa4Se7 (GGA-PBE)

Data for a geometry-optimized LiPa4Se7 structure.

Cell: 4.075 4.075 23.740 Å, 90.00 90.00 120.00°
Fractional coordinates of all 12 atoms:
1 Li 0.000 0.000 0.000
2 Pa 0.333 0.667 0.140
3 Pa 0.333 0.667 0.432
4 Pa 0.667 0.333 0.568
5 Pa 0.667 0.333 0.860
6 Se 0.000 0.000 0.208
7 Se 0.000 0.000 0.500
8 Se 0.000 0.000 0.792
9 Se 0.333 0.667 0.637
10 Se 0.333 0.667 0.934
11 Se 0.667 0.333 0.066
12 Se 0.667 0.333 0.363

Results
As for the volume: 341.4 Å³/cell. For the density of states at the Fermi level, the calculation gives 14.76 states/eV/cell. As for the formation energy (no corrections): -125.7 kJ per mole of atoms. The energy above the lowest structure with this stoichiometry is 0.000 eV/atom. The total energy is -79.93 eV/cell. The calculation puts the density at 7.2 g/cm3. The magnetic moment comes out at 3.0 Bohr magnetons per cell. As for the space group: P-3m1.


## Tl2BiSbO4 (GGA-PBE)

Data for a geometry-optimized Tl2BiSbO4 structure.

Cell: 7.650 9.195 5.095 Å, 90.00 90.00 90.00°
Fractional coordinates of all 16 atoms:
1 Tl 0.227 0.144 0.000
2 Tl 0.273 0.856 0.500
3 Tl 0.727 0.856 0.500
4 Tl 0.773 0.144 0.000
5 Bi 0.000 0.430 0.464
6 Bi 0.500 0.570 0.964
7 Sb 0.000 0.713 0.983
8 Sb 0.500 0.287 0.483
9 O 0.000 0.497 0.042
10 O 0.000 0.723 0.591
11 O 0.211 0.277 0.433
12 O 0.289 0.723 0.933
13 O 0.500 0.277 0.091
14 O 0.500 0.503 0.542
15 O 0.711 0.723 0.933
16 O 0.789 0.277 0.433

Results
As for the volume: 358.4 Å³/cell. For the density of states at the Fermi level, the calculation gives 0.00 states/eV/cell. As for the formation energy (no corrections): -94.2 kJ per mole of atoms. The total energy is -80.76 eV/cell. The calculation puts the density at 7.4 g/cm3. The magnetic moment comes out at 0.0 Bohr magnetons per cell. As for the space group: Pmn2_1.


## Sc2Ni2Pd (GGA-PBE)

Data for a geometry-optimized Sc2Ni2Pd structure.

Cell: 7.747 7.747 7.747 Å, 154.85 154.85 35.86°
Fractional coordinates of all 5 atoms:
1 Sc 0.112 0.112 0.000
2 Sc 0.888 0.888 0.000
3 Ni 0.250 0.750 0.500
4 Ni 0.750 0.250 0.500
5 Pd 0.500 0.500 0.000

Results
As for the volume: 83.8 Å³/cell. For the density of states at the Fermi level, the calculation gives 4.46 states/eV/cell. The energy above the lowest structure with this stoichiometry is 0.162 eV/atom. The total energy is -31.59 eV/cell. The calculation puts the density at 6.2 g/cm3. The magnetic moment comes out at 0.0 Bohr magnetons per cell. As for the space group: I4/mmm. As for the energy relative to the elements: -434.6 meV/atom.


## PmLuCo2 (GGA-PBE)

Data for a geometry-optimized PmLuCo2 structure.

Cell: 3.352 3.352 6.709 Å, 90.00 90.00 90.00°
Fractional coordinates of all 4 atoms:
1 Pm 0.000 0.000 0.000
2 Lu 0.000 0.000 0.500
3 Co 0.500 0.500 0.265
4 Co 0.500 0.500 0.735

Results
As for the volume: 75.4 Å³/cell. For the density of states at the Fermi level, the calculation gives 3.00 states/eV/cell. The energy above the lowest structure with this stoichiometry is 0.000 eV/atom. The total energy is -23.91 eV/cell. The calculation puts the density at 9.6 g/cm3. The magnetic moment comes out at 0.9 Bohr magnetons per cell. As for the space group: P4/mmm. As for the energy relative to the elements: -105.9 meV/atom.


## Tb6Er8Al (GGA-PBE)

Data for a geometry-optimized Tb6Er8Al structure.

Cell: 9.350 9.350 6.134 Å, 90.00 90.00 120.00°
Fractional coordinates of all 15 atoms:
1 Tb 0.092 0.636 0.194
2 Tb 0.364 0.456 0.194
3 Tb 0.456 0.092 0.806
4 Tb 0.544 0.908 0.194
5 Tb 0.636 0.544 0.806
6 Tb 0.908 0.364 0.806
7 Er 0.041 0.781 0.700
8 Er 0.219 0.260 0.700
9 Er 0.260 0.041 0.300
10 Er 0.333 0.667 0.694
11 Er 0.667 0.333 0.306
12 Er 0.740 0.959 0.700
13 Er 0.781 0.740 0.300
14 Er 0.959 0.219 0.300
15 Al 0.000 0.000 0.000

Results
As for the volume: 464.5 Å³/cell. For the density of states at the Fermi level, the calculation gives 19.48 states/eV/cell. The total energy is -66.66 eV/cell. The calculation puts the density at 8.3 g/cm3. The magnetic moment comes out at 0.0 Bohr magnetons per cell. As for the space group: P-3. As for the energy relative to the elements: 91.0 meV/atom.


## PmSmCu2Ge2 (GGA-PBE)

Data for a geometry-optimized PmSmCu2Ge2 structure.

Cell: 4.287 4.287 7.700 Å, 90.00 90.00 120.00°
Fractional coordinates of all 6 atoms:
1 Pm 0.000 0.000 0.000
2 Sm 0.000 0.000 0.500
3 Cu 0.333 0.667 0.748
4 Cu 0.667 0.333 0.252
5 Ge 0.333 0.667 0.251
6 Ge 0.667 0.333 0.749

Results
As for the volume: 122.6 Å³/cell. For the density of states at the Fermi level, the calculation gives 1.30 states/eV/cell. The total energy is -30.94 eV/cell. The calculation puts the density at 7.7 g/cm3. The magnetic moment comes out at 0.0 Bohr magnetons per cell. As for the space group: P-3m1. As for the energy relative to the elements: -674.5 meV/atom.


## MgTiNb2 (GGA-PBE)

Data for a geometry-optimized MgTiNb2 structure.

Cell: 4.679 4.679 4.679 Å, 60.00 60.00 60.00°
Fractional coordinates of all 4 atoms:
1 Mg 0.000 0.000 0.000
2 Ti 0.500 0.500 0.500
3 Nb 0.250 0.250 0.250
4 Nb 0.750 0.750 0.750

Results
As for the volume: 72.4 Å³/cell. For the density of states at the Fermi level, the calculation gives 5.72 states/eV/cell. The energy above the lowest structure with this stoichiometry is 0.000 eV/atom. The total energy is -28.40 eV/cell. The calculation puts the density at 5.9 g/cm3. The magnetic moment comes out at 0.0 Bohr magnetons per cell. As for the space group: Fm-3m. As for the energy relative to the elements: 307.0 meV/atom.


## Na3UCd2S6 (GGA-PBE)

Data for a geometry-optimized Na3UCd2S6 structure.

Cell: 6.737 6.737 7.099 Å, 99.12 99.12 119.99°
Fractional coordinates of all 12 atoms:
1 Na 0.000 0.000 0.000
2 Na 0.329 0.671 0.000
3 Na 0.671 0.329 0.000
4 U 0.500 0.500 0.500
5 Cd 0.166 0.834 0.500
6 Cd 0.834 0.166 0.500
7 S 0.103 0.424 0.272
8 S 0.255 0.255 0.727
9 S 0.424 0.103 0.272
10 S 0.576 0.897 0.728
11 S 0.745 0.745 0.273
12 S 0.897 0.576 0.728

Results
As for the volume: 264.6 Å³/cell. For the density of states at the Fermi level, the calculation gives 0.22 states/eV/cell. As for the formation energy (no corrections): -102.2 kJ per mole of atoms. The total energy is -54.55 eV/cell. The calculation puts the density at 4.5 g/cm3. The magnetic moment comes out at 1.0 Bohr magnetons per cell. As for the space group: C2/m.


## Pm2CuGe3Rh4 (GGA-PBE)

Data for a geometry-optimized Pm2CuGe3Rh4 structure.

Cell: 4.210 4.210 10.248 Å, 90.00 90.00 90.00°
Fractional coordinates of all 10 atoms:
1 Pm 0.000 0.500 0.245
2 Pm 0.500 0.000 0.755
3 Cu 0.500 0.500 0.000
4 Ge 0.000 0.000 0.000
5 Ge 0.000 0.500 0.629
6 Ge 0.500 0.000 0.371
7 Rh 0.000 0.000 0.500
8 Rh 0.000 0.500 0.868
9 Rh 0.500 0.000 0.132
10 Rh 0.500 0.500 0.500

Results
As for the volume: 181.6 Å³/cell. For the density of states at the Fermi level, the calculation gives 5.39 states/eV/cell. The total energy is -64.67 eV/cell. The calculation puts the density at 9.0 g/cm3. The magnetic moment comes out at 0.0 Bohr magnetons per cell. As for the space group: P-4m2. As for the energy relative to the elements: -781.3 meV/atom.


## TiB2Mo2 (GGA-PBE)

Data for a geometry-optimized TiB2Mo2 structure.

Cell: 5.999 5.999 3.163 Å, 90.00 90.00 90.00°
Fractional coordinates of all 10 atoms:
1 Ti 0.000 0.000 0.000
2 Ti 0.500 0.500 0.000
3 B 0.110 0.390 0.000
4 B 0.390 0.890 0.000
5 B 0.610 0.110 0.000
6 B 0.890 0.610 0.000
7 Mo 0.176 0.676 0.500
8 Mo 0.324 0.176 0.500
9 Mo 0.676 0.824 0.500
10 Mo 0.824 0.324 0.500

Results
As for the volume: 113.8 Å³/cell. For the density of states at the Fermi level, the calculation gives 1.15 states/eV/cell. The total energy is -92.29 eV/cell. The calculation puts the density at 7.6 g/cm3. The magnetic moment comes out at 0.0 Bohr magnetons per cell. As for the space group: P4/mbm. As for the energy relative to the elements: -647.0 meV/atom.


## CaLuPdPt (GGA-PBE)

Data for a geometry-optimized CaLuPdPt structure.

Cell: 4.883 4.883 4.883 Å, 60.00 60.00 60.00°
Fractional coordinates of all 4 atoms:
1 Ca 0.000 0.000 0.000
2 Lu 0.500 0.500 0.500
3 Pd 0.750 0.750 0.750
4 Pt 0.250 0.250 0.250

Results
As for the volume: 82.3 Å³/cell. For the density of states at the Fermi level, the calculation gives 3.64 states/eV/cell. The total energy is -21.59 eV/cell. The calculation puts the density at 10.4 g/cm3. The magnetic moment comes out at 0.0 Bohr magnetons per cell. As for the space group: F-43m. As for the energy relative to the elements: -959.3 meV/atom.


## Y3CdPb (GGA-PBE)

Data for a geometry-optimized Y3CdPb structure.

Cell: 5.597 5.597 5.597 Å, 90.00 90.00 90.00°
Fractional coordinates of all 5 atoms:
1 Y 0.000 0.000 0.500
2 Y 0.000 0.500 0.000
3 Y 0.500 0.000 0.000
4 Cd 0.000 0.000 0.000
5 Pb 0.500 0.500 0.500

Results
As for the volume: 175.3 Å³/cell. For the density of states at the Fermi level, the calculation gives 5.01 states/eV/cell. The energy above the lowest structure with this stoichiometry is 0.000 eV/atom. The total energy is -23.20 eV/cell. The calculation puts the density at 5.6 g/cm3. The magnetic moment comes out at 0.0 Bohr magnetons per cell. As for the space group: Pm-3m. As for the energy relative to the elements: 162.2 meV/atom.


## SmLuZnCr (GGA-PBE)

Data for a geometry-optimized SmLuZnCr structure.

Cell: 5.047 5.047 5.047 Å, 60.00 60.00 60.00°
Fractional coordinates of all 4 atoms:
1 Sm 0.000 0.000 0.000
2 Lu 0.500 0.500 0.500
3 Zn 0.750 0.750 0.750
4 Cr 0.250 0.250 0.250

Results
As for the volume: 90.9 Å³/cell. For the density of states at the Fermi level, the calculation gives 1.56 states/eV/cell. The total energy is -20.03 eV/cell. The calculation puts the density at 8.1 g/cm3. The magnetic moment comes out at 3.4 Bohr magnetons per cell. As for the space group: F-43m. As for the energy relative to the elements: 25.8 meV/atom.


## AcLuZn2 (GGA-PBE)

Data for a geometry-optimized AcLuZn2 structure.

Cell: 9.345 9.345 9.345 Å, 23.16 23.16 23.16°
Fractional coordinates of all 4 atoms:
1 Ac 0.000 0.000 0.000
2 Lu 0.500 0.500 0.500
3 Zn 0.241 0.241 0.241
4 Zn 0.759 0.759 0.759

Results
As for the volume: 110.8 Å³/cell. For the density of states at the Fermi level, the calculation gives 4.23 states/eV/cell. The total energy is -11.36 eV/cell. The calculation puts the density at 8.0 g/cm3. The magnetic moment comes out at 0.0 Bohr magnetons per cell. As for the space group: R-3m. As for the energy relative to the elements: -45.8 meV/atom.


## CsGa3Ge (GGA-PBE)

Data for a geometry-optimized CsGa3Ge structure.

Cell: 7.882 7.882 6.005 Å, 90.00 90.00 129.47°
Fractional coordinates of all 10 atoms:
1 Cs 0.234 0.766 0.750
2 Cs 0.766 0.234 0.250
3 Ga 0.077 0.923 0.250
4 Ga 0.286 0.286 0.000
5 Ga 0.286 0.286 0.500
6 Ga 0.714 0.714 0.000
7 Ga 0.714 0.714 0.500
8 Ga 0.923 0.077 0.750
9 Ge 0.385 0.615 0.250
10 Ge 0.615 0.385 0.750

Results
As for the volume: 288.0 Å³/cell. For the density of states at the Fermi level, the calculation gives 4.73 states/eV/cell. The energy above the lowest structure with this stoichiometry is 0.000 eV/atom. The total energy is -29.86 eV/cell. The calculation puts the density at 4.8 g/cm3. The magnetic moment comes out at 0.0 Bohr magnetons per cell. As for the space group: Cmcm. As for the energy relative to the elements: -75.3 meV/atom.


## PrYHoAl (GGA-PBE)

Data for a geometry-optimized PrYHoAl structure.

Cell: 5.424 5.424 5.424 Å, 60.00 60.00 60.00°
Fractional coordinates of all 4 atoms:
1 Pr 0.000 0.000 0.000
2 Y 0.500 0.500 0.500
3 Ho 0.750 0.750 0.750
4 Al 0.250 0.250 0.250

Results
As for the volume: 112.8 Å³/cell. For the density of states at the Fermi level, the calculation gives 6.65 states/eV/cell. The energy above the lowest structure with this stoichiometry is 0.143 eV/atom. The total energy is -19.80 eV/cell. The calculation puts the density at 6.2 g/cm3. The magnetic moment comes out at 0.6 Bohr magnetons per cell. As for the space group: F-43m. As for the energy relative to the elements: -58.8 meV/atom.


## LiVCr2P (GGA-PBE)

Data for a geometry-optimized LiVCr2P structure.

Cell: 4.348 4.348 4.205 Å, 90.00 90.00 90.00°
Fractional coordinates of all 5 atoms:
1 Li 0.000 0.000 0.000
2 V 0.500 0.500 0.000
3 Cr 0.000 0.500 0.500
4 Cr 0.500 0.000 0.500
5 P 0.000 0.000 0.500

Results
As for the volume: 79.5 Å³/cell. For the density of states at the Fermi level, the calculation gives 5.13 states/eV/cell. The total energy is -33.41 eV/cell. The calculation puts the density at 4.0 g/cm3. The magnetic moment comes out at 1.9 Bohr magnetons per cell. As for the space group: P4/mmm. As for the energy relative to the elements: 455.7 meV/atom.